(1)
## NaInS2 (PBE)

Data for a relaxed NaInS2 crystal.

Computed properties:
Its total DFT energy (no corrections) is -3.437 eV per atom. As for the raw formation energy: -0.3591 eV/atom.

a b c (Å): 4.7442 4.7442 3.5056
angles (deg): 90.00 90.00 90.00
Last column: nearest neighbours and their distance in Å.
Fractional coordinates of all 4 atoms:
Na1 0.0000 0.0000 0.0000  8 S 2.95
In1 0.5000 0.5000 0.0000  8 S 2.95
S1 0.0000 0.5000 0.5000  4 In 2.95, 4 Na 2.95
S2 0.5000 0.0000 0.5000  4 In 2.95, 4 Na 2.95

(2)
## LaZrS2 (PBE)

Data for a relaxed LaZrS2 crystal.

Computed properties:
Its total DFT energy (no corrections) is -6.578 eV per atom. As for the raw formation energy: -1.1458 eV/atom.

a b c (Å): 8.5644 8.5644 8.5644
angles (deg): 27.38 27.38 27.38
Last column: nearest neighbours and their distance in Å.
Fractional coordinates of all 4 atoms:
La1 0.0000 0.0000 0.0000  6 S 2.85
Zr1 0.5000 0.5000 0.5000  2 S 2.49
S1 0.3993 0.3993 0.3993  1 Zr 2.49
S2 0.6007 0.6007 0.6007  1 Zr 2.49

(3)
## TlGaSnBr4 (PBE)

Data for a relaxed TlGaSnBr4 crystal.

Computed properties:
Its total DFT energy (no corrections) is -3.002 eV per atom. As for the raw formation energy: -0.7042 eV/atom.

a b c (Å): 6.7889 7.4808 10.1508
angles (deg): 90.00 106.45 90.00
Last column: nearest neighbours and their distance in Å.
Fractional coordinates of all 14 atoms:
Tl1 0.1975 0.2500 0.4557  7 Br 3.36-3.73
Tl2 0.8025 0.7500 0.5443  7 Br 3.36-3.73
Ga1 0.4155 0.7500 0.9806  3 Br 2.72-2.95
Ga2 0.5845 0.2500 0.0194  3 Br 2.72-2.95
Sn1 0.0500 0.7500 0.1664  3 Br 2.76-2.78
Sn2 0.9500 0.2500 0.8336  3 Br 2.76-2.78
Br1 0.2056 0.0035 0.7638  1 Sn 2.76, 1 Ga 2.95
Br2 0.2056 0.4965 0.7638  1 Sn 2.76, 1 Ga 2.95
Br3 0.2665 0.2500 0.1324  1 Ga 2.72
Br4 0.2862 0.7500 0.4397  1 Sn 2.78
Br5 0.7138 0.2500 0.5603  1 Sn 2.78
Br6 0.7335 0.7500 0.8676  1 Ga 2.72
Br7 0.7944 0.5035 0.2362  1 Sn 2.76, 1 Ga 2.95
Br8 0.7944 0.9965 0.2362  1 Sn 2.76, 1 Ga 2.95

(4)
## Cr2ReTc (PBE)

Data for a relaxed Cr2ReTc crystal.

Computed properties:
The calculation puts the formation energy at 233 meV/atom. Its total DFT energy (no corrections) is -10.282 eV per atom.

a b c (Å): 8.4811 8.4811 8.4811
angles (deg): 18.57 18.57 18.57
Last column: nearest neighbours and their distance in Å.
Fractional coordinates of all 4 atoms:
Cr1 0.0000 0.0000 0.0000  3 Cr 2.35
Cr2 0.2636 0.2636 0.2636  3 Cr 2.35
Re1 0.7542 0.7542 0.7542  3 Cr 2.70, 6 Re 2.74, 3 Tc 2.74
Tc1 0.5105 0.5105 0.5105  3 Cr 2.68, 6 Tc 2.74, 3 Re 2.74

(5)
## TbErPuMg (PBE)

Data for a relaxed TbErPuMg crystal.

Computed properties:
The calculation puts the formation energy at 147 meV/atom. Its total DFT energy (no corrections) is -6.133 eV per atom.

a b c (Å): 5.4392 5.4392 5.4392
angles (deg): 60.00 60.00 60.00
Last column: nearest neighbours and their distance in Å.
Fractional coordinates of all 4 atoms:
Tb1 0.0000 0.0000 0.0000  4 Mg 3.33, 4 Pu 3.33
Er1 0.5000 0.5000 0.5000  4 Pu 3.33, 4 Mg 3.33
Pu1 0.7500 0.7500 0.7500  4 Er 3.33, 4 Tb 3.33
Mg1 0.2500 0.2500 0.2500  4 Tb 3.33, 4 Er 3.33

(6)
## Ba2HfMgSi (PBE)

Data for a relaxed Ba2HfMgSi crystal.

Computed properties:
Its total DFT energy (no corrections) is -3.039 eV per atom. As for the raw formation energy: 1.1238 eV/atom.

a b c (Å): 6.0259 6.0259 5.5681
angles (deg): 90.00 90.00 90.00
Last column: nearest neighbours and their distance in Å.
Fractional coordinates of all 5 atoms:
Ba1 0.0000 0.5000 0.0000  2 Hf 3.01
Ba2 0.5000 0.0000 0.0000  2 Hf 3.01
Hf1 0.0000 0.0000 0.0000  2 Mg 2.78, 4 Ba 3.01
Mg1 0.0000 0.0000 0.5000  2 Hf 2.78
Si1 0.5000 0.5000 0.5000  8 Ba 4.10, 4 Mg 4.26

(7)
## ZrBeCr2 (PBE)

Data for a relaxed ZrBeCr2 crystal.

Computed properties:
The calculation puts the formation energy at 618 meV/atom. Its total DFT energy (no corrections) is -7.263 eV per atom.

a b c (Å): 7.7106 7.7106 7.7106
angles (deg): 22.27 22.27 22.27
Last column: nearest neighbours and their distance in Å.
Fractional coordinates of all 4 atoms:
Zr1 0.0000 0.0000 0.0000  6 Cr 2.79, 6 Zr 2.98
Be1 0.5000 0.5000 0.5000  6 Cr 2.32
Cr1 0.2357 0.2357 0.2357  3 Be 2.32
Cr2 0.7643 0.7643 0.7643  3 Be 2.32